Entry from the Alexandria database: an optimized crystal structure of SmTmInPb (PBE-GGA).

Cell: 5.4115 5.4115 5.4115 Å, 60.00 60.00 60.00°
Atoms (fractional coordinates):
Sm 0.0000 0.0000 0.0000
Tm 0.5000 0.5000 0.5000
In 0.7500 0.7500 0.7500
Pb 0.2500 0.2500 0.2500

energy of formation from the pure elements: -1.6 eV per formula unit
electronic total energy: -17.2 eV for the cell shown
DOS at the Fermi energy: 3.60 states/eV/f.u.

Entry from the Alexandria database: an optimized crystal structure of SmTmInPb (PBE-GGA).

Cell: 5.6825 5.6825 5.6825 Å, 128.04 128.04 76.56°
Atoms (fractional coordinates):
Sm 0.0000 0.0000 0.0000
Tm 0.5000 0.5000 0.0000
In 0.2500 0.7500 0.5000
Pb 0.7500 0.2500 0.5000

energy of formation from the pure elements: -1.8 eV per formula unit
electronic total energy: -17.4 eV for the cell shown
DOS at the Fermi energy: 3.29 states/eV/f.u.

Entry from the Alexandria database: an optimized crystal structure of InSn2Pb (PBE-GGA).

Cell: 5.4463 5.4463 5.4463 Å, 60.00 60.00 60.00°
Atoms (fractional coordinates):
In 0.0000 0.0000 0.0000
Sn 0.2500 0.2500 0.2500
Sn 0.7500 0.7500 0.7500
Pb 0.5000 0.5000 0.5000

energy of formation from the pure elements: 0.3 eV per formula unit
electronic total energy: -14.2 eV for the cell shown
DOS at the Fermi energy: 2.28 states/eV/f.u.

Entry from the Alexandria database: an optimized crystal structure of In4Sn2Pb (PBE-GGA).

Cell: 19.3244 19.3244 19.3244 Å, 10.17 10.17 10.17°
Atoms (fractional coordinates):
In 0.1431 0.1431 0.1431
In 0.2838 0.2838 0.2838
In 0.7162 0.7162 0.7162
In 0.8569 0.8569 0.8569
Sn 0.4291 0.4291 0.4291
Sn 0.5709 0.5709 0.5709
Pb 0.0000 0.0000 0.0000

energy of formation from the pure elements: 0.1 eV per formula unit
electronic total energy: -22.6 eV for the cell shown
DOS at the Fermi energy: 3.21 states/eV/f.u.

Entry from the Alexandria database: an optimized crystal structure of In7SnPb4 (PBE-GGA).

Cell: 6.6534 6.6534 12.0241 Å, 115.56 115.56 51.59°
Atoms (fractional coordinates):
In 0.0000 0.0000 0.0000
In 0.1422 0.1422 0.5205
In 0.2853 0.2853 0.0670
In 0.4267 0.4267 0.6984
In 0.5733 0.5733 0.3016
In 0.7147 0.7147 0.9330
In 0.8578 0.8578 0.4795
Sn 0.5000 0.5000 0.0000
Pb 0.0915 0.0915 0.7612
Pb 0.2533 0.2533 0.3175
Pb 0.7467 0.7467 0.6825
Pb 0.9085 0.9085 0.2388

energy of formation from the pure elements: 1.3 eV per formula unit
electronic total energy: -36.7 eV for the cell shown
DOS at the Fermi energy: 5.94 states/eV/f.u.

Entry from the Alexandria database: an optimized crystal structure of In6Sn7Pb16 (PBE-GGA).

Cell: 10.9213 10.9213 10.9213 Å, 60.00 60.00 60.00°
Atoms (fractional coordinates):
In 0.1591 0.1591 0.8409
In 0.1591 0.8409 0.1591
In 0.1591 0.8409 0.8409
In 0.8409 0.1591 0.1591
In 0.8409 0.1591 0.8409
In 0.8409 0.8409 0.1591
Sn 0.0000 0.0000 0.5000
Sn 0.0000 0.5000 0.0000
Sn 0.0000 0.5000 0.5000
Sn 0.5000 0.0000 0.0000
Sn 0.5000 0.0000 0.5000
Sn 0.5000 0.5000 0.0000
Sn 0.5000 0.5000 0.5000
Pb 0.1391 0.6203 0.6203
Pb 0.1519 0.1519 0.1519
Pb 0.1519 0.1519 0.5443
Pb 0.1519 0.5443 0.1519
Pb 0.3797 0.3797 0.3797
Pb 0.3797 0.3797 0.8609
Pb 0.3797 0.8609 0.3797
Pb 0.4557 0.8481 0.8481
Pb 0.5443 0.1519 0.1519
Pb 0.6203 0.1391 0.6203
Pb 0.6203 0.6203 0.1391
Pb 0.6203 0.6203 0.6203
Pb 0.8481 0.4557 0.8481
Pb 0.8481 0.8481 0.4557
Pb 0.8481 0.8481 0.8481
Pb 0.8609 0.3797 0.3797

energy of formation from the pure elements: 3.5 eV per formula unit
electronic total energy: -100.3 eV for the cell shown
DOS at the Fermi energy: 17.67 states/eV/f.u.